<i>
Entry from the Alexandria database: a relaxed structure of NbCdH3 (PBE-GGA).

Summary:
Symmetry: Pm-3m
N(E_F) (states/eV per cell): 2.45

Cell: 3.7216 3.7216 3.7216 Å, 90.00 90.00 90.00°
Positions (direct):
Nb  0.0000  0.0000  0.0000
Cd  0.5000  0.5000  0.5000
H  0.0000  0.0000  0.5000
H  0.0000  0.5000  0.0000
H  0.5000  0.0000  0.0000

<ii>
Entry from the Alexandria database: a relaxed structure of NbCdH3 (PBE-GGA).

Summary:
Symmetry: Pm-3m
N(E_F) (states/eV per cell): 3.93

Cell: 3.6994 3.6994 3.6994 Å, 90.00 90.00 90.00°
Positions (direct):
Nb  0.0000  0.0000  0.0000
Cd  0.5000  0.5000  0.5000
H  0.0000  0.5000  0.5000
H  0.5000  0.0000  0.5000
H  0.5000  0.5000  0.0000

Unit: meV/atom. Relative energies: <i> 0; <ii> 708.

<i>
Entry from the Alexandria database: a relaxed structure of NbCdH2 (PBE-GGA).

Summary:
Symmetry: Fm-3m
N(E_F) (states/eV per cell): 2.23

Cell: 3.9829 3.9829 3.9829 Å, 60.00 60.00 60.00°
Positions (direct):
Nb  0.0000  0.0000  0.0000
Cd  0.5000  0.5000  0.5000
H  0.2500  0.2500  0.2500
H  0.7500  0.7500  0.7500

<ii>
Entry from the Alexandria database: a relaxed structure of NbCdH2 (PBE-GGA).

Summary:
Symmetry: I-42d
N(E_F) (states/eV per cell): 1.58

Cell: 5.4042 5.4042 5.4042 Å, 127.44 127.44 77.54°
Positions (direct):
Nb  0.0000  0.0000  0.0000
Nb  0.7500  0.2500  0.5000
Cd  0.2500  0.7500  0.5000
Cd  0.5000  0.5000  0.0000
H  0.0703  0.6250  0.9453
H  0.3750  0.3203  0.4453
H  0.6797  0.1250  0.0547
H  0.8750  0.9297  0.5547

Unit: meV/atom. Relative energies: <i> 455; <ii> 0.